(1)
Material: Ac2MgGa4Ir3
Method: DFT, PBE-GGA
State: optimized geometry

a b c (Å): 4.3225 4.3225 11.1463
angles (deg): 90.00 90.00 90.00
With the nearest neighbours (Å) after each atom.
Space group P-4m2 (No. 115)
Inequivalent atoms, fractional coordinates:
Ac 0.0000 0.5000 0.2377 x2  6 Ir 3.29-3.64, 8 Ga 3.36-3.42, 2 Mg 3.64
Mg 0.0000 0.0000 0.5000 x1  4 Ga 2.65
Ga 0.0000 0.0000 0.0000 x1  4 Ir 2.59
Ga 0.0000 0.5000 0.6374 x2  3 Ir 2.62-2.65, 2 Mg 2.65
Ga 0.5000 0.5000 0.0000 x1  4 Ir 2.59
Ir 0.0000 0.5000 0.8725 x2  5 Ga 2.59-2.62
Ir 0.5000 0.5000 0.5000 x1  4 Ga 2.65

Results
DFT formation energy = -0.5956 eV/atom

***

(2)
Material: AcGaIrN
Method: DFT, PBE-GGA
State: optimized geometry

a b c (Å): 4.1330 4.1330 8.7997
angles (deg): 90.00 90.00 90.00
With the nearest neighbours (Å) after each atom.
Space group P4/nmm (No. 129, origin choice 2)
Inequivalent atoms, fractional coordinates:
Ac 0.2500 0.2500 0.1584 x2  1 N 2.48
Ga 0.2500 0.2500 0.6551 x2  1 N 1.95
Ir 0.2500 0.7500 0.5000 x2  4 Ga 2.48
N 0.2500 0.2500 0.8766 x2  1 Ga 1.95

Results
Formation energy without anion corrections = -0.778 eV/atom

***

(3)
Material: Ac5Ga2IrN
Method: DFT, PBE-GGA
State: optimized geometry

a b c (Å): 4.2909 19.2527 14.1458
angles (deg): 90.00 90.00 90.00
With the nearest neighbours (Å) after each atom.
Space group Cmc2_1 (No. 36)
Inequivalent atoms, fractional coordinates:
Ac 0.0000 0.0089 0.0000 x4  1 N 2.36
Ac 0.0000 0.1530 0.2204 x4  1 Ir 2.90
Ac 0.0000 0.1748 0.6022 x4  1 N 2.59
Ac 0.0000 0.2146 0.8914 x4  2 Ir 2.98
Ac 0.0000 0.4631 0.2382 x4  2 N 2.49
Ga 0.0000 0.3631 0.5411 x4  6 Ac 3.32-3.37
Ga 0.0000 0.3905 0.9002 x4  8 Ac 3.39-3.79
Ir 0.0000 0.3022 0.2471 x4  6 Ac 2.90-3.10
N 0.0000 0.0449 0.6497 x4  4 Ac 2.36-2.59

Results
Formation energy without anion corrections = -0.609 eV/atom

***

(4)
Material: AcNdGaIr
Method: DFT, PBE-GGA
State: optimized geometry

a b c (Å): 7.4485 7.4485 7.4485
angles (deg): 90.00 90.00 90.00
With the nearest neighbours (Å) after each atom.
Space group F-43m (No. 216)
Inequivalent atoms, fractional coordinates:
Ac 0.0000 0.0000 0.0000 x4  4 Ir 3.23, 4 Ga 3.23
Nd 0.0000 0.0000 0.5000 x4  4 Ir 3.23, 4 Ga 3.23
Ga 0.2500 0.2500 0.7500 x4  4 Ac 3.23, 4 Nd 3.23
Ir 0.2500 0.2500 0.2500 x4  4 Ac 3.23, 4 Nd 3.23

Results
DFT formation energy = -0.4222 eV/atom

***

(5)
Material: AcNdGaIr
Method: DFT, PBE-GGA
State: optimized geometry

a b c (Å): 4.4424 4.4789 10.7624
angles (deg): 90.00 90.00 90.00
With the nearest neighbours (Å) after each atom.
Space group Amm2 (No. 38)
Inequivalent atoms, fractional coordinates:
Ac 0.0000 0.0000 0.0000 x2  3 Ir 3.05-3.23, 4 Ga 3.29
Nd 0.5000 0.0000 0.7152 x2  3 Ga 3.08-3.27, 4 Ir 3.24
Ga 0.5000 0.0000 0.4118 x2  2 Ir 2.61
Ir 0.0000 0.0000 0.2836 x2  2 Ga 2.61

Results
DFT formation energy = -0.5835 eV/atom

***

(6)
Material: Ac3GaNi6Ir2
Method: DFT, PBE-GGA
State: optimized geometry

a b c (Å): 5.9914 5.9914 7.5650
angles (deg): 90.00 90.00 120.00
With the nearest neighbours (Å) after each atom.
Space group P-3m1 (No. 164)
Inequivalent atoms, fractional coordinates:
Ac 0.0000 0.0000 0.0000 x1  6 Ni 3.54, 6 Ir 3.55, 2 Ga 3.78
Ac 0.3333 0.6667 0.7396 x2  1 Ir 2.78, 3 Ni 3.06
Ga 0.0000 0.0000 0.5000 x1  6 Ni 2.27
Ni 0.2002 0.4003 0.3786 x6  1 Ga 2.27, 2 Ni 2.39, 1 Ir 2.47
Ir 0.3333 0.6667 0.1072 x2  3 Ni 2.47

Results
DFT formation energy = -0.1682 eV/atom

***

(7)
Material: AcGa4Ni2Ir
Method: DFT, PBE-GGA
State: optimized geometry

a b c (Å): 4.1744 4.1744 28.3414
angles (deg): 90.00 90.00 120.00
With the nearest neighbours (Å) after each atom.
Space group R-3m (No. 166, hexagonal axes)
Inequivalent atoms, fractional coordinates:
Ac 0.0000 0.0000 0.0000 x3  6 Ga 3.21
Ga 0.0000 0.0000 0.1311 x6  4 Ni 2.49-2.66, 3 Ir 2.61
Ga 0.0000 0.0000 0.4081 x6  3 Ni 2.59, 1 Ir 2.60, 3 Ga 2.89
Ni 0.0000 0.0000 0.2249 x6  7 Ga 2.49-2.66
Ir 0.0000 0.0000 0.5000 x3  8 Ga 2.60-2.61

Results
DFT formation energy = -0.4524 eV/atom

***

(8)
Material: AcGaNiIr2
Method: DFT, PBE-GGA
State: optimized geometry

a b c (Å): 4.2067 4.2768 10.7414
angles (deg): 90.00 90.00 90.00
With the nearest neighbours (Å) after each atom.
Space group Imm2 (No. 44)
Inequivalent atoms, fractional coordinates:
Ac 0.0000 0.0000 0.0000 x2  4 Ni 3.26, 8 Ir 3.26-3.47, 4 Ga 3.35-3.49
Ga 0.0000 0.5000 0.7430 x2  2 Ni 2.52, 2 Ir 2.57
Ni 0.0000 0.0000 0.6188 x2  2 Ga 2.52, 3 Ir 2.55-2.56
Ir 0.0000 0.0000 0.3811 x2  2 Ir 2.54, 1 Ni 2.55, 2 Ga 2.57
Ir 0.0000 0.5000 0.2539 x2  2 Ir 2.54, 2 Ni 2.56

Results
DFT formation energy = -0.3320 eV/atom

***

(9)
Material: Ac2GaNiIr
Method: DFT, PBE-GGA
State: optimized geometry

a b c (Å): 4.3483 4.3483 13.8049
angles (deg): 90.00 90.00 90.00
With the nearest neighbours (Å) after each atom.
Space group P4/nmm (No. 129, origin choice 2)
Inequivalent atoms, fractional coordinates:
Ac 0.2500 0.2500 0.1041 x2  5 Ir 3.06-3.08
Ac 0.2500 0.2500 0.6732 x2  1 Ir 2.88
Ga 0.2500 0.2500 0.4181 x2  4 Ni 2.45
Ni 0.2500 0.7500 0.5000 x2  4 Ga 2.45
Ir 0.2500 0.2500 0.8821 x2  6 Ac 2.88-3.08

Results
DFT formation energy = -0.5292 eV/atom

***

(10)
Material: AcGaNiIr
Method: DFT, PBE-GGA
State: optimized geometry

a b c (Å): 7.4973 4.3334 5.7548
angles (deg): 90.00 115.82 90.00
With the nearest neighbours (Å) after each atom.
Space group Cm (No. 8)
Inequivalent atoms, fractional coordinates:
Ac 0.0000 0.0000 0.0000 x2  4 Ni 2.98-3.33, 4 Ir 3.12-3.24
Ga 0.0062 0.5000 0.5189 x2  3 Ir 2.54, 3 Ni 2.55
Ni 0.3079 0.5000 0.4244 x2  3 Ga 2.55, 3 Ir 2.66-2.67
Ir 0.2004 0.0000 0.6019 x2  3 Ga 2.54, 3 Ni 2.66-2.67

Results
DFT formation energy = -0.5517 eV/atom

***

(11)
Material: AcGaNi3Ir
Method: DFT, PBE-GGA
State: optimized geometry

a b c (Å): 6.7395 12.6094 5.3477
angles (deg): 90.00 90.00 90.00
With the nearest neighbours (Å) after each atom.
Space group Cmcm (No. 63)
Inequivalent atoms, fractional coordinates:
Ac 0.0000 0.2293 0.2500 x4  2 Ni 2.70
Ga 0.0000 0.3839 0.7500 x4  5 Ni 2.30-2.37
Ni 0.0000 0.2015 0.7500 x4  1 Ga 2.30, 1 Ir 2.33
Ni 0.1922 0.5000 0.0000 x8  2 Ga 2.37, 2 Ir 2.48, 1 Ni 2.59
Ir 0.0000 0.0168 0.7500 x4  5 Ni 2.33-2.48

Results
DFT formation energy = -0.1400 eV/atom

***

(12)
Material: AcGaIrO6
Method: DFT, PBE-GGA
State: optimized geometry

a b c (Å): 5.2523 5.2523 5.3660
angles (deg): 90.00 90.00 120.00
With the nearest neighbours (Å) after each atom.
Space group P312 (No. 149)
Inequivalent atoms, fractional coordinates:
Ac 0.0000 0.0000 0.0000 x1  6 O 2.53
Ga 0.6667 0.3333 0.5000 x1  6 O 2.01
Ir 0.3333 0.6667 0.5000 x1  6 O 1.96
O 0.0080 0.3793 0.2954 x6  1 Ir 1.96, 1 Ga 2.01

Results
Formation energy without anion corrections = -1.771 eV/atom

***

(13)
Material: Ac2GaIrO6
Method: DFT, PBE-GGA
State: optimized geometry

a b c (Å): 8.0340 8.0340 8.0340
angles (deg): 90.00 90.00 90.00
With the nearest neighbours (Å) after each atom.
Space group Fm-3m (No. 225)
Inequivalent atoms, fractional coordinates:
Ac 0.2500 0.2500 0.2500 x8  12 O 2.84
Ga 0.0000 0.0000 0.0000 x4  6 O 1.96
Ir 0.0000 0.0000 0.5000 x4  6 O 2.06
O 0.0000 0.0000 0.2440 x24  1 Ga 1.96, 1 Ir 2.06

Results
Formation energy without anion corrections = -2.233 eV/atom

***

(14)
Material: AcGa4Ir2Os
Method: DFT, PBE-GGA
State: optimized geometry

a b c (Å): 4.2973 4.2973 27.5716
angles (deg): 90.00 90.00 120.00
With the nearest neighbours (Å) after each atom.
Space group R-3m (No. 166, hexagonal axes)
Inequivalent atoms, fractional coordinates:
Ac 0.0000 0.0000 0.0000 x3  6 Ga 3.21
Ga 0.0000 0.0000 0.1336 x6  4 Ir 2.64-2.73, 3 Os 2.64
Ga 0.0000 0.0000 0.4073 x6  1 Os 2.55, 3 Ir 2.59
Ir 0.0000 0.0000 0.2324 x6  7 Ga 2.59-2.73
Os 0.0000 0.0000 0.5000 x3  8 Ga 2.55-2.64

Results
DFT formation energy = -0.3881 eV/atom

***

(15)
Material: AcGaPIr
Method: DFT, PBE-GGA
State: optimized geometry

a b c (Å): 4.3893 4.3893 9.4329
angles (deg): 90.00 90.00 90.00
With the nearest neighbours (Å) after each atom.
Space group P4/nmm (No. 129, origin choice 2)
Inequivalent atoms, fractional coordinates:
Ac 0.2500 0.2500 0.1948 x2  5 P 3.07-3.16
Ga 0.2500 0.2500 0.6226 x2  1 P 2.33, 4 Ir 2.48
P 0.2500 0.2500 0.8694 x2  1 Ga 2.33
Ir 0.2500 0.7500 0.5000 x2  4 Ga 2.48

Results
DFT formation energy = -0.8653 eV/atom

***

(16)
Material: Ac2GaIrPb
Method: DFT, PBE-GGA
State: optimized geometry

a b c (Å): 8.5073 4.5196 8.5391
angles (deg): 90.00 110.82 90.00
With the nearest neighbours (Å) after each atom.
Space group P2_1/m (No. 11)
Inequivalent atoms, fractional coordinates:
Ac 0.0873 0.2500 0.3368 x2  3 Ir 3.20-3.23, 3 Ga 3.38-3.46
Ac 0.3364 0.7500 0.0849 x2  3 Ir 3.18-3.23, 3 Ga 3.38-3.46
Ga 0.2288 0.2500 0.7694 x2  1 Ir 2.54
Ir 0.0485 0.2500 0.9506 x2  1 Ga 2.54, 2 Ir 2.64
Pb 0.3626 0.7500 0.6383 x2  2 Ga 2.93

Results
DFT formation energy = -0.5693 eV/atom

***

(17)
Material: Ac2Ga3IrPd4
Method: DFT, PBE-GGA
State: optimized geometry

a b c (Å): 4.4151 4.4151 10.6101
angles (deg): 90.00 90.00 90.00
With the nearest neighbours (Å) after each atom.
Space group P-4m2 (No. 115)
Inequivalent atoms, fractional coordinates:
Ac 0.0000 0.5000 0.2406 x2  8 Pd 3.29-3.53, 2 Ir 3.37, 6 Ga 3.37-3.45
Ga 0.0000 0.0000 0.0000 x1  4 Pd 2.68
Ga 0.0000 0.5000 0.6202 x2  5 Pd 2.52-2.55
Ir 0.5000 0.5000 0.0000 x1  4 Pd 2.68
Pd 0.0000 0.0000 0.5000 x1  4 Ga 2.55
Pd 0.0000 0.5000 0.8574 x2  3 Ga 2.52-2.68, 2 Ir 2.68
Pd 0.5000 0.5000 0.5000 x1  4 Ga 2.55

Results
DFT formation energy = -0.6603 eV/atom

***

(18)
Material: AcGa2IrPd
Method: DFT, PBE-GGA
State: optimized geometry

a b c (Å): 4.1130 4.4601 11.2931
angles (deg): 90.00 90.00 90.00
With the nearest neighbours (Å) after each atom.
Space group Imm2 (No. 44)
Inequivalent atoms, fractional coordinates:
Ac 0.0000 0.0000 0.0000 x2  4 Ir 3.22, 6 Ga 3.35-3.45, 2 Pd 3.44
Ga 0.0000 0.0000 0.3748 x2  1 Ir 2.48, 2 Pd 2.53, 2 Ga 2.75
Ga 0.0000 0.5000 0.2328 x2  2 Ir 2.58, 2 Ga 2.75
Ir 0.0000 0.0000 0.5945 x2  3 Ga 2.48-2.58
Pd 0.0000 0.5000 0.7438 x2  2 Ga 2.53, 2 Ir 2.80

Results
DFT formation energy = -0.6161 eV/atom

***

(19)
Material: Ac2Ga4IrPd3
Method: DFT, PBE-GGA
State: optimized geometry

a b c (Å): 4.4640 4.4640 10.3471
angles (deg): 90.00 90.00 90.00
With the nearest neighbours (Å) after each atom.
Space group P-4m2 (No. 115)
Inequivalent atoms, fractional coordinates:
Ac 0.0000 0.5000 0.2463 x2  2 Ir 3.39, 6 Pd 3.39-3.41, 9 Ga 3.42-3.79
Ga 0.0000 0.0000 0.5000 x1  4 Pd 2.60
Ga 0.0000 0.5000 0.8798 x2  2 Ir 2.56, 3 Pd 2.56-2.59
Ga 0.5000 0.5000 0.5000 x1  4 Pd 2.60
Ir 0.5000 0.5000 0.0000 x1  4 Ga 2.56
Pd 0.0000 0.0000 0.0000 x1  4 Ga 2.56
Pd 0.0000 0.5000 0.6290 x2  5 Ga 2.59-2.60

Results
DFT formation energy = -0.7779 eV/atom

***

(20)
Material: Ac2Ga4Ir3Pd
Method: DFT, PBE-GGA
State: optimized geometry

a b c (Å): 4.3992 4.3992 10.4502
angles (deg): 90.00 90.00 90.00
With the nearest neighbours (Å) after each atom.
Space group P-4m2 (No. 115)
Inequivalent atoms, fractional coordinates:
Ac 0.0000 0.5000 0.2482 x2  6 Ir 3.36-3.40, 8 Ga 3.37-3.43, 2 Pd 3.40
Ga 0.0000 0.0000 0.5000 x1  4 Ir 2.59
Ga 0.0000 0.5000 0.8756 x2  3 Ir 2.55-2.56, 2 Pd 2.55
Ga 0.5000 0.5000 0.5000 x1  4 Ir 2.59
Ir 0.0000 0.0000 0.0000 x1  4 Ga 2.55
Ir 0.0000 0.5000 0.6303 x2  5 Ga 2.56-2.59
Pd 0.5000 0.5000 0.0000 x1  4 Ga 2.55

Results
DFT formation energy = -0.7269 eV/atom

***

(21)
Material: Ac2Ga3Ir4Pd
Method: DFT, PBE-GGA
State: optimized geometry

a b c (Å): 4.3245 4.3245 10.7328
angles (deg): 90.00 90.00 90.00
With the nearest neighbours (Å) after each atom.
Space group P-4m2 (No. 115)
Inequivalent atoms, fractional coordinates:
Ac 0.0000 0.5000 0.2474 x2  8 Ir 3.27-3.42, 6 Ga 3.35-3.47, 2 Pd 3.47
Ga 0.0000 0.5000 0.8798 x2  5 Ir 2.51-2.52
Ga 0.5000 0.5000 0.5000 x1  4 Ir 2.67
Ir 0.0000 0.0000 0.0000 x1  4 Ga 2.52
Ir 0.0000 0.5000 0.6458 x2  3 Ga 2.51-2.67, 2 Pd 2.67
Ir 0.5000 0.5000 0.0000 x1  4 Ga 2.52
Pd 0.0000 0.0000 0.5000 x1  4 Ir 2.67

Results
DFT formation energy = -0.5956 eV/atom

***

(22)
Material: AcGa3IrPd
Method: DFT, PBE-GGA
State: optimized geometry

a b c (Å): 6.4714 12.1720 6.6721
angles (deg): 90.00 90.00 90.00
With the nearest neighbours (Å) after each atom.
Space group Cmcm (No. 63)
Inequivalent atoms, fractional coordinates:
Ac 0.0000 0.2435 0.2500 x4  1 Pd 3.13, 4 Ga 3.29-3.41
Ga 0.0000 0.3033 0.7500 x4  1 Ir 2.34, 1 Pd 2.38
Ga 0.2062 0.0000 0.0000 x8  2 Ir 2.53, 2 Pd 2.53, 1 Ga 2.67
Ir 0.0000 0.1113 0.7500 x4  5 Ga 2.34-2.53
Pd 0.0000 0.4991 0.7500 x4  5 Ga 2.38-2.53

Results
DFT formation energy = -0.5244 eV/atom

***

(23)
Material: AcPrGa2Ir2
Method: DFT, PBE-GGA
State: optimized geometry

a b c (Å): 4.4061 4.4061 8.2126
angles (deg): 90.00 90.00 120.00
With the nearest neighbours (Å) after each atom.
Space group P-3m1 (No. 164)
Inequivalent atoms, fractional coordinates:
Ac 0.0000 0.0000 0.0000 x1  6 Ir 3.34, 6 Ga 3.36
Pr 0.0000 0.0000 0.5000 x1  6 Ga 3.18, 6 Ir 3.20
Ga 0.3333 0.6667 0.2671 x2  3 Ir 2.54
Ir 0.3333 0.6667 0.7367 x2  3 Ga 2.54

Results
DFT formation energy = -0.7092 eV/atom

***

One value per record, in order, for final energy: -5.45 -6.86 -5.47 -5.61 -5.77 -5.82 -5.03 -6.46 -5.71 -6.00 -5.70 -6.85 -7.22 -6.03 -6.22 -5.33 -5.35 -5.46 -5.25 -5.94 -6.39 -5.06 -6.15 eV per atom.
One value per record, in order, for total magnetic moment: 0.0 0.0 0.0 0.0 0.0 0.0 0.0 0.0 0.0 0.0 0.0 2.8 0.0 0.0 0.0 0.0 0.0 0.0 0.0 0.0 0.0 0.0 0.0 μB/cell.